Entry 1:
! Li2CaTbAu2 PBE optimized geometry; values from VASP
&SYSTEM
  ibrav = 0, nat = 6, ntyp = 4
/
ATOMIC_SPECIES
Li 6.94 Li.upf
Ca 40.08 Ca.upf
Tb 158.93 Tb.upf
Au 196.97 Au.upf
ATOMIC_POSITIONS angstrom
Li 0.000 2.598 1.887
Li 2.250 1.299 5.710
Ca 0.000 0.000 0.000
Tb 0.000 0.000 3.798
Au 0.000 2.598 5.524
Au 2.250 1.299 2.073
CELL_PARAMETERS angstrom
4.500 0.000 0.000
-2.250 3.897 0.000
0.000 0.000 7.596
! - total moment (μB/cell) = 0.00
! - theoretical density (g cm⁻³) = 7.563
! - SG = No. 164
! - calculated total energy (Ry/atom) = -0.24791
! - formation enthalpy at 0 K (eV/atom) = -0.537



Entry 2:
! LiCaTlAu PBE optimized geometry; values from VASP
&SYSTEM
  ibrav = 0, nat = 4, ntyp = 4
/
ATOMIC_SPECIES
Li 6.94 Li.upf
Ca 40.08 Ca.upf
Tl 204.38 Tl.upf
Au 196.97 Au.upf
ATOMIC_POSITIONS angstrom
Li 0.000 0.000 0.000
Ca 1.764 1.764 1.764
Tl 5.293 5.293 5.293
Au 3.529 3.529 3.529
CELL_PARAMETERS angstrom
0.000 3.529 3.529
3.529 0.000 3.529
3.529 3.529 0.000
! - total moment (μB/cell) = 0.00
! - theoretical density (g cm⁻³) = 8.471
! - SG = No. 216
! - calculated total energy (Ry/atom) = -0.20881
! - formation enthalpy at 0 K (eV/atom) = -0.451
! - distance to the lowest polymorph of the same formula (meV/atom) = 0



Entry 3:
! LiCaTlAu PBE optimized geometry; values from VASP
&SYSTEM
  ibrav = 0, nat = 4, ntyp = 4
/
ATOMIC_SPECIES
Li 6.94 Li.upf
Ca 40.08 Ca.upf
Tl 204.38 Tl.upf
Au 196.97 Au.upf
ATOMIC_POSITIONS angstrom
Li 0.000 0.000 0.000
Ca 1.789 0.000 3.884
Tl 0.000 2.035 1.870
Au 0.000 2.035 5.296
CELL_PARAMETERS angstrom
3.579 0.000 0.000
0.000 4.071 0.000
0.000 0.000 6.958
! - total moment (μB/cell) = 0.00
! - theoretical density (g cm⁻³) = 7.346
! - SG = No. 25
! - calculated total energy (Ry/atom) = -0.20108
! - formation enthalpy at 0 K (eV/atom) = -0.346
! - distance to the lowest polymorph of the same formula (meV/atom) = 105



Entry 4:
! LiCaTmAu PBE optimized geometry; values from VASP
&SYSTEM
  ibrav = 0, nat = 4, ntyp = 4
/
ATOMIC_SPECIES
Li 6.94 Li.upf
Ca 40.08 Ca.upf
Tm 168.93 Tm.upf
Au 196.97 Au.upf
ATOMIC_POSITIONS angstrom
Li 0.000 0.000 0.000
Ca 5.404 5.404 5.404
Tm 1.801 1.801 1.801
Au 3.603 3.603 3.603
CELL_PARAMETERS angstrom
0.000 3.603 3.603
3.603 0.000 3.603
3.603 3.603 0.000
! - total moment (μB/cell) = 0.00
! - theoretical density (g cm⁻³) = 7.331
! - SG = No. 216
! - calculated total energy (Ry/atom) = -0.24361
! - formation enthalpy at 0 K (eV/atom) = -0.398



Entry 5:
! LiCaY2Au4 PBE optimized geometry; values from VASP
&SYSTEM
  ibrav = 0, nat = 8, ntyp = 4
/
ATOMIC_SPECIES
Li 6.94 Li.upf
Ca 40.08 Ca.upf
Y 88.91 Y.upf
Au 196.97 Au.upf
ATOMIC_POSITIONS angstrom
Li 0.000 0.000 0.000
Ca 0.000 0.000 12.219
Y 0.000 0.000 6.219
Y 0.000 0.000 18.219
Au 0.000 0.000 2.975
Au 0.000 0.000 9.180
Au 0.000 0.000 15.259
Au 0.000 0.000 21.464
CELL_PARAMETERS angstrom
2.498 1.442 8.146
-2.498 1.442 8.146
0.000 -2.885 8.146
! - total moment (μB/cell) = 0.00
! - theoretical density (g cm⁻³) = 9.546
! - SG = No. 166
! - calculated total energy (Ry/atom) = -0.33054
! - formation enthalpy at 0 K (eV/atom) = -0.753



Entry 6:
! Li2CaYAu4 PBE optimized geometry; values from VASP
&SYSTEM
  ibrav = 0, nat = 8, ntyp = 4
/
ATOMIC_SPECIES
Li 6.94 Li.upf
Ca 40.08 Ca.upf
Y 88.91 Y.upf
Au 196.97 Au.upf
ATOMIC_POSITIONS angstrom
Li 0.000 0.000 6.821
Li 0.000 0.000 20.438
Ca 0.000 0.000 13.630
Y 0.000 0.000 0.000
Au 0.000 0.000 2.965
Au 0.000 0.000 10.542
Au 0.000 0.000 16.718
Au 0.000 0.000 24.294
CELL_PARAMETERS angstrom
2.307 1.332 9.086
-2.307 1.332 9.086
0.000 -2.664 9.086
! - total moment (μB/cell) = 0.00
! - theoretical density (g cm⁻³) = 9.222
! - SG = No. 166
! - calculated total energy (Ry/atom) = -0.28360
! - formation enthalpy at 0 K (eV/atom) = -0.683



Entry 7:
! LiCaZn2Au2 PBE optimized geometry; values from VASP
&SYSTEM
  ibrav = 0, nat = 6, ntyp = 4
/
ATOMIC_SPECIES
Li 6.94 Li.upf
Ca 40.08 Ca.upf
Zn 65.41 Zn.upf
Au 196.97 Au.upf
ATOMIC_POSITIONS angstrom
Li 0.000 0.000 0.000
Ca 0.000 0.000 3.368
Zn 0.000 2.594 5.466
Zn 2.247 1.297 1.270
Au 0.000 2.594 1.471
Au 2.247 1.297 5.264
CELL_PARAMETERS angstrom
4.494 0.000 0.000
-2.247 3.892 0.000
0.000 0.000 6.735
! - total moment (μB/cell) = 0.00
! - theoretical density (g cm⁻³) = 8.061
! - SG = No. 164
! - calculated total energy (Ry/atom) = -0.19802
! - formation enthalpy at 0 K (eV/atom) = -0.524



Entry 8:
! LiCaZnAu3 PBE optimized geometry; values from VASP
&SYSTEM
  ibrav = 0, nat = 12, ntyp = 4
/
ATOMIC_SPECIES
Li 6.94 Li.upf
Ca 40.08 Ca.upf
Zn 65.41 Zn.upf
Au 196.97 Au.upf
ATOMIC_POSITIONS angstrom
Li 3.278 5.322 4.541
Li 3.278 -5.322 1.514
Ca 3.278 2.352 4.541
Ca 3.278 -2.352 1.514
Zn 3.278 1.711 1.514
Zn 3.278 -1.711 4.541
Au 3.278 4.256 1.514
Au 1.839 0.000 0.000
Au 1.839 0.000 3.027
Au 4.717 0.000 0.000
Au 4.717 0.000 3.027
Au 3.278 -4.256 4.541
CELL_PARAMETERS angstrom
3.278 -6.154 0.000
3.278 6.154 0.000
0.000 0.000 6.055
! - total moment (μB/cell) = 0.00
! - theoretical density (g cm⁻³) = 9.562
! - SG = No. 63
! - calculated total energy (Ry/atom) = -0.21368
! - formation enthalpy at 0 K (eV/atom) = -0.404